# PBE Ce2YS3, relaxed
# Spin magnetization = 2.01 Bohr magnetons per cell
# Total energy = -7.13 eV per atom
data_Ce2YS3
_cell_length_a 3.9392
_cell_length_b 3.9392
_cell_length_c 20.0526
_cell_angle_alpha 90.00
_cell_angle_beta 90.00
_cell_angle_gamma 120.00
_space_group_name_H-M_alt 'P 63/m m c'
_space_group_IT_number 194
_space_group_name_Hall '-P 6c 2c'
loop_
_atom_site_label
_atom_site_type_symbol
_atom_site_fract_x
_atom_site_fract_y
_atom_site_fract_z
_atom_site_occupancy
Ce1 Ce 0.3333 0.6667 0.0821 1
Y1 Y 0.0000 0.0000 0.2500 1
S1 S 0.0000 0.0000 0.0000 1
S2 S 0.3333 0.6667 0.6681 1